A plane-wave DFT calculation with PBE with a Hubbard U was carried out for a relaxed structure of Ce2CrF11.

The space group is Ibam (No. 72) and the conventional cell measures 8.580, 10.178 and 10.836 Å, with angles of 90.00, 90.00 and 90.00 degrees. The asymmetric unit holds Ce at (0.126, 0.194, 0.000), Cr at (0.000, 0.500, 0.250), F at (0.000, 0.000, 0.000), F at (0.069, 0.379, 0.130), F at (0.138, 0.217, 0.500) and F at (0.224, 0.109, 0.157).

As for the total DFT energy (no corrections): -6.140 eV per atom. The spin magnetization is 12.00 μB per cell.

A plane-wave DFT calculation with PBE with a Hubbard U was carried out for a relaxed structure of Li2CeCrF8.

The space group is P-1 (No. 2) and the conventional cell measures 4.584, 4.664 and 7.001 Å, with angles of 87.37, 89.40 and 86.15 degrees. The asymmetric unit holds Li at (0.027, 0.029, 0.301), Ce at (0.500, 0.500, 0.000), Cr at (0.500, 0.500, 0.500), F at (0.147, 0.212, 0.039), F at (0.195, 0.234, 0.507), F at (0.318, 0.717, 0.716) and F at (0.322, 0.725, 0.273).

As for the total DFT energy (no corrections): -7.966 eV per atom. As for the density of states at the Fermi level: 0.4615 states/eV per atom. The spin magnetization is 0.57 μB per cell.